First-principles (PBE-GGA) data for an optimized crystal structure of Ho3Ga2Hg, as listed in Alexandria via LeMat-Bulk. Values from VASP.

Calculated values
ρ	9.8	Mg/m³
energy relative to the elements	-541	meV/atom
V	23.5	A^3/atom

Cell and atoms, written as Quantum ESPRESSO input:
```
&SYSTEM
  ibrav = 0, nat = 6, ntyp = 3
/
ATOMIC_SPECIES
Ho 164.93 Ho.upf
Ga 69.72 Ga.upf
Hg 200.59 Hg.upf
CELL_PARAMETERS angstrom
3.579 0.000 0.000
0.000 3.579 0.000
0.000 0.000 10.988
ATOMIC_POSITIONS angstrom
Ho 0.000 0.000 0.000
Ho 0.000 0.000 3.524
Ho 0.000 0.000 7.465
Ga 1.789 1.789 1.791
Ga 1.789 1.789 9.197
Hg 1.789 1.789 5.494
```